(1)
Si2AsRh, PBEsol geometry, DFT SCAN; E_form (uncorrected) = -0.23 eV/atom; total magnetic moment = 0.00 μB/cell; energy = -18.730 eV/atom
1.0
4.180 0.000 0.000
0.000 4.292 0.000
0.000 0.000 7.513
Si As Rh
4 2 2
direct
0.000 0.000 0.000
0.000 0.500 0.500
0.500 0.000 0.197
0.500 0.500 0.697
0.000 0.000 0.657
0.000 0.500 0.157
0.500 0.000 0.846
0.500 0.500 0.346


(2)
HgB6, PBEsol geometry, DFT SCAN; total magnetic moment = 0.00 μB/cell; energy = -15.710 eV/atom; ΔE_f = 0.396 eV per atom
1.0
4.172 0.000 0.000
0.000 4.172 0.000
0.000 0.000 4.172
Hg B
1 6
direct
0.000 0.000 0.000
0.200 0.500 0.500
0.500 0.200 0.500
0.500 0.500 0.200
0.500 0.500 0.800
0.500 0.800 0.500
0.800 0.500 0.500


(3)
Zr2Al2Ni, PBEsol geometry, DFT SCAN; total magnetic moment = 0.01 μB/cell; energy = -19.161 eV/atom; ΔE_f = -0.546 eV per atom
1.0
5.941 0.000 0.000
0.000 6.615 0.000
0.000 0.000 4.374
Zr Al Ni
4 4 2
direct
0.212 0.130 0.000
0.288 0.630 0.000
0.712 0.370 0.000
0.788 0.870 0.000
0.128 0.846 0.500
0.372 0.346 0.500
0.628 0.654 0.500
0.872 0.154 0.500
0.000 0.500 0.500
0.500 0.000 0.500